Arrangement a

Material: K2SnBr6
Method: DFT, GGA-PBEsol
State: optimized geometry

Summary:
Symmetry = P2_1/c
Crystal system = monoclinic

abc: 7.377 7.553 10.400
angles: 90.00 89.50 90.00
Fractional coordinates of all 18 atoms:
Br (0.701, 0.785, 0.529)
Br (0.799, 0.285, 0.971)
Br (0.714, 0.799, 0.964)
Br (0.214, 0.701, 0.464)
Br (0.786, 0.299, 0.536)
Br (0.566, 0.503, 0.252)
Br (0.066, 0.997, 0.752)
Br (0.934, 0.003, 0.248)
Br (0.286, 0.201, 0.036)
Br (0.201, 0.715, 0.029)
Br (0.299, 0.215, 0.471)
Br (0.434, 0.497, 0.748)
K (0.017, 0.439, 0.252)
K (0.983, 0.561, 0.748)
K (0.517, 0.061, 0.752)
K (0.483, 0.939, 0.248)
Sn (0.500, 0.500, 0.500)
Sn (0.000, 0.000, 0.000)

Arrangement b

Material: K2SnBr6
Method: DFT, GGA-PBEsol
State: optimized geometry

Summary:
Symmetry = Fm-3m
Crystal system = cubic

abc: 7.428 7.428 7.428
angles: 60.00 60.00 60.00
Fractional coordinates of all 9 atoms:
Br (0.751, 0.751, 0.249)
Br (0.249, 0.249, 0.751)
Br (0.249, 0.751, 0.751)
Br (0.751, 0.249, 0.751)
Br (0.751, 0.249, 0.249)
Br (0.249, 0.751, 0.249)
K (0.250, 0.250, 0.250)
K (0.750, 0.750, 0.750)
Sn (0.000, 0.000, 0.000)

Most stable one: arrangement a, least stable one: arrangement b.

Arrangement a

Material: K2TaBr
Method: DFT, GGA-PBEsol
State: optimized geometry

Summary:
Symmetry = Imm2
Crystal system = orthorhombic

abc: 3.226 6.088 7.217
angles: 114.95 102.91 90.00
Each line ends with the local moment (μB).
Fractional coordinates of all 4 atoms:
K (0.956, 0.956, 0.912)  0.03
K (0.764, 0.264, 0.528)  0.02
Br (0.225, 0.725, 0.450)  0.03
Ta (0.555, 0.555, 0.110)  1.38

Arrangement b

Material: K2TaBr
Method: DFT, GGA-PBEsol
State: optimized geometry

Summary:
Symmetry = Pmm2
Crystal system = orthorhombic

abc: 3.375 6.048 6.756
angles: 90.00 90.00 90.00
Each line ends with the local moment (μB).
Fractional coordinates of all 4 atoms:
K (0.500, 0.500, 0.369)  0.06
K (0.000, 0.000, 0.879)  0.04
Br (0.500, 0.500, 0.873)  0.03
Ta (0.000, 0.000, 0.379)  2.37

Arrangement c

Material: K2TaBr
Method: DFT, GGA-PBEsol
State: optimized geometry

Summary:
Symmetry = P4/mmm
Crystal system = tetragonal

abc: 3.254 3.255 10.444
angles: 90.00 90.03 90.00
Each line ends with the local moment (μB).
Fractional coordinates of all 4 atoms:
Ta (0.500, 0.500, 0.500)  0.83
K (0.999, 0.000, 0.793)  0.01
K (0.001, 0.000, 0.207)  0.01
Br (0.500, 0.500, 0.000)  0.01

Most stable one: arrangement c, least stable one: arrangement b.

Arrangement a

Material: KTc2Br
Method: DFT, GGA-PBEsol
State: optimized geometry

Summary:
Symmetry = C2/m
Crystal system = monoclinic

abc: 3.198 4.299 6.303
angles: 109.89 104.63 90.18
Fractional coordinates of all 4 atoms:
Tc (0.500, 0.500, 0.500)
Tc (0.000, 0.000, 0.500)
K (0.000, 0.000, 0.000)
Br (0.500, 0.500, 0.000)

Arrangement b

Material: KTc2Br
Method: DFT, GGA-PBEsol
State: optimized geometry

Summary:
Symmetry = Fm-3m
Crystal system = cubic

abc: 4.906 4.906 4.906
angles: 60.00 60.00 60.00
Each line ends with the local moment (μB).
Fractional coordinates of all 4 atoms:
K (0.500, 0.500, 0.500)  0.07
Br (0.000, 0.000, 0.000)  0.16
Tc (0.250, 0.250, 0.250)  2.90
Tc (0.750, 0.750, 0.750)  2.90

Most stable one: arrangement a, least stable one: arrangement b.

Arrangement a

Material: KTe2Br
Method: DFT, GGA-PBEsol
State: optimized geometry

Summary:
Symmetry = I4/mmm
Crystal system = tetragonal

abc: 4.286 4.286 8.058
angles: 105.42 105.42 90.00
Fractional coordinates of all 4 atoms:
K (0.000, 0.000, 0.000)
Te (0.750, 0.250, 0.500)
Te (0.250, 0.750, 0.500)
Br (0.500, 0.500, 0.000)

Arrangement b

Material: KTe2Br
Method: DFT, GGA-PBEsol
State: optimized geometry

Summary:
Symmetry = R-3m
Crystal system = trigonal

abc: 3.720 3.720 10.961
angles: 80.23 80.23 60.00
Fractional coordinates of all 4 atoms:
K (0.500, 0.500, 0.500)
Te (0.916, 0.916, 0.252)
Te (0.084, 0.084, 0.748)
Br (0.000, 0.000, 0.000)

Most stable one: arrangement a, least stable one: arrangement b.

Arrangement a

Material: KTlBr2
Method: DFT, GGA-PBEsol
State: optimized geometry

Summary:
Symmetry = R3m
Crystal system = trigonal

abc: 4.503 4.503 8.369
angles: 74.40 74.40 60.00
Fractional coordinates of all 4 atoms:
K (0.417, 0.417, 0.748)
Br (0.002, 0.002, 0.995)
Br (0.832, 0.832, 0.505)
Tl (0.249, 0.249, 0.252)

Arrangement b

Material: KTlBr2
Method: DFT, GGA-PBEsol
State: optimized geometry

Summary:
Symmetry = R-3m
Crystal system = trigonal

abc: 4.615 4.615 8.047
angles: 73.34 73.34 60.00
Fractional coordinates of all 4 atoms:
Br (0.251, 0.251, 0.246)
Br (0.749, 0.749, 0.754)
K (0.000, 0.000, 0.000)
Tl (0.500, 0.500, 0.500)

Most stable one: arrangement b, least stable one: arrangement a.

Arrangement a

Material: K2WBr
Method: DFT, GGA-PBEsol
State: optimized geometry

Summary:
Symmetry = Imm2
Crystal system = orthorhombic

abc: 3.619 3.688 10.264
angles: 100.35 100.16 90.00
Each line ends with the local moment (μB).
Fractional coordinates of all 4 atoms:
Br (0.301, 0.801, 0.602)  0.01
K (0.711, 0.211, 0.422)  0.02
K (0.931, 0.931, 0.861)  0.03
W (0.558, 0.558, 0.115)  3.11

Arrangement b

Material: K2WBr
Method: DFT, GGA-PBEsol
State: optimized geometry

Summary:
Symmetry = P4/mmm
Crystal system = tetragonal

abc: 3.702 5.946 5.946
angles: 90.00 90.00 90.00
Each line ends with the local moment (μB).
Fractional coordinates of all 4 atoms:
K (0.000, 0.000, 0.500)  0.03
K (0.000, 0.500, 0.000)  0.03
W (0.500, 0.500, 0.500)  3.33
Br (0.500, 0.000, 0.000)  0.02

Arrangement c

Material: K2WBr
Method: DFT, GGA-PBEsol
State: optimized geometry

Summary:
Symmetry = Fm-3m
Crystal system = cubic

abc: 5.804 5.804 5.804
angles: 60.00 60.00 60.00
Each line ends with the local moment (μB).
Fractional coordinates of all 4 atoms:
K (0.750, 0.750, 0.750)  0.02
K (0.250, 0.250, 0.250)  0.02
W (0.500, 0.500, 0.500)  3.46
Br (0.000, 0.000, 0.000)  0.03

Most stable one: arrangement a, least stable one: arrangement c.